TlAgTe2As | the Alexandria database | PBE | relaxed; total moment = 0.00 μB per cell; V = 316.7 Å³ per cell; formation energy (no corrections) = 0.037 eV/atom
1.0
7.3076 0.0000 0.0000
0.0000 5.7097 0.0000
-0.5241 0.0000 7.5892
Tl Ag Te As
2 2 4 2
Cartesian
-0.1310 0.6918 1.8973
-0.3931 5.0179 5.6919
3.6538 0.0000 0.0000
3.3918 0.0000 3.7946
1.3519 1.9733 7.0377
1.6139 3.7364 3.2431
5.1696 1.9733 4.3461
5.4317 3.7364 0.5515
3.5228 2.1049 1.8973
3.2607 3.6047 5.6919